Entry 1:
An optimized crystal structure of Hf2Fe3Re. Source: the Alexandria database, functional PBE-GGA.

Computed properties:
Formation energy from the elements ... -30 kJ per mole of atoms
Space group ... No. 12
Electronic total energy ... -59.59 eV/cell
Volume ... 90 Å³/cell

Lattice parameters (Å, degrees): 4.991 4.991 5.070 89.95 119.46 120.08
Each line ends with the local moment (μB).
Fractional coordinates of all 6 atoms:
Fe (0.500, 0.500, 0.500)  1.80
Fe (0.500, 0.000, 0.500)  1.81
Hf (0.751, 0.375, 0.126)  -0.26
Hf (0.249, 0.625, 0.874)  -0.26
Fe (0.000, 0.000, 0.500)  1.80
Re (0.000, 0.000, 0.000)  0.16

***

Entry 2:
An optimized crystal structure of NaGdRh4. Source: the Alexandria database, functional PBE-GGA.

Computed properties:
Formation energy from the elements ... -32 kJ per mole of atoms
Space group ... No. 216
Electronic total energy ... -46.78 eV/cell
Volume ... 106 Å³/cell

Lattice parameters (Å, degrees): 5.307 5.307 5.307 60.00 60.00 60.00
Each line ends with the local moment (μB).
Fractional coordinates of all 6 atoms:
Rh (0.625, 0.125, 0.625)  -0.18
Rh (0.625, 0.625, 0.625)  -0.18
Rh (0.625, 0.625, 0.125)  -0.18
Na (0.000, 0.000, 0.000)  0.01
Rh (0.125, 0.625, 0.625)  -0.18
Gd (0.250, 0.250, 0.250)  7.00

***

Entry 3:
An optimized crystal structure of TiHgAs2Br. Source: the Alexandria database, functional PBE-GGA.

Computed properties:
Energy above the lowest structure with this stoichiometry ... 0.0000 eV per atom
Raw formation energy ... -0.058 eV/atom
Space group ... No. 123
Electronic total energy ... -19.46 eV/cell
Volume ... 128 Å³/cell

Lattice parameters (Å, degrees): 4.975 4.975 5.163 90.00 90.00 90.00
Fractional coordinates of all 5 atoms:
As (0.000, 0.500, 0.000)
Hg (0.500, 0.500, 0.500)
As (0.500, 0.000, 0.000)
Br (0.000, 0.000, 0.500)
Ti (0.000, 0.000, 0.000)

***

Entry 4:
An optimized crystal structure of TiSnTe2. Source: the Alexandria database, functional PBE-GGA.

Computed properties:
Raw formation energy ... -0.434 eV/atom
Space group ... No. 166
Electronic total energy ... -19.92 eV/cell
Volume ... 116 Å³/cell

Lattice parameters (Å, degrees): 10.104 10.104 10.104 20.98 20.98 20.98
Fractional coordinates of all 4 atoms:
Sn (0.000, 0.000, 0.000)
Ti (0.500, 0.500, 0.500)
Te (0.893, 0.893, 0.893)
Te (0.107, 0.107, 0.107)

***

Entry 5:
An optimized crystal structure of Sr2ScTl. Source: the Alexandria database, functional PBE-GGA.

Computed properties:
Energy above the lowest structure with this stoichiometry ... 0.3204 eV per atom
Formation energy from the elements ... 26 kJ per mole of atoms
Space group ... No. 122
Electronic total energy ... -22.01 eV/cell
Volume ... 296 Å³/cell

Lattice parameters (Å, degrees): 9.313 9.313 7.418 51.11 51.11 90.00
Fractional coordinates of all 8 atoms:
Sr (0.655, 0.125, 0.250)
Sc (0.500, 0.500, 0.000)
Sr (0.375, 0.345, 0.750)
Sc (0.250, 0.750, 0.500)
Tl (0.750, 0.250, 0.500)
Sr (0.095, 0.625, 0.250)
Tl (0.000, 0.000, 0.000)
Sr (0.875, 0.905, 0.750)

***

Entry 6:
An optimized crystal structure of YTlSe2. Source: the Alexandria database, functional PBE-GGA.

Computed properties:
Raw formation energy ... -0.463 eV/atom
Space group ... No. 216
Electronic total energy ... -17.65 eV/cell
Volume ... 99 Å³/cell

Lattice parameters (Å, degrees): 5.201 5.201 5.201 60.00 60.00 60.00
Fractional coordinates of all 4 atoms:
Se (0.000, 0.000, 0.000)
Tl (0.500, 0.500, 0.500)
Se (0.250, 0.250, 0.250)
Y (0.750, 0.750, 0.750)

***

Entry 7:
An optimized crystal structure of LiGd2Mg. Source: the Alexandria database, functional PBE-GGA.

Computed properties:
Energy above the lowest structure with this stoichiometry ... 0.0000 eV per atom
Formation energy from the elements ... 1 kJ per mole of atoms
Space group ... No. 123
Electronic total energy ... -31.64 eV/cell
Volume ... 108 Å³/cell

Lattice parameters (Å, degrees): 3.754 3.754 7.652 90.00 90.00 90.00
Each line ends with the local moment (μB).
Fractional coordinates of all 4 atoms:
Li (0.500, 0.500, 0.500)  0.01
Gd (0.000, 0.000, 0.254)  7.23
Mg (0.500, 0.500, 0.000)  -0.01
Gd (0.000, 0.000, 0.746)  7.23

***

Entry 8:
An optimized crystal structure of La12Dy3Y. Source: the Alexandria database, functional PBE-GGA.

Computed properties:
Formation energy from the elements ... 1 kJ per mole of atoms
Space group ... No. 123
Electronic total energy ... -79.28 eV/cell
Volume ... 565 Å³/cell

Lattice parameters (Å, degrees): 5.210 5.210 20.819 90.00 90.00 90.00
Fractional coordinates of all 16 atoms:
La (0.500, 0.500, 0.250)
La (0.500, 0.500, 0.500)
La (0.500, 0.000, 0.625)
Dy (0.000, 0.000, 0.500)
La (0.500, 0.500, 0.750)
La (0.500, 0.000, 0.375)
Dy (0.000, 0.000, 0.750)
La (0.000, 0.500, 0.125)
Y (0.000, 0.000, 0.000)
La (0.500, 0.500, 0.000)
La (0.000, 0.500, 0.625)
Dy (0.000, 0.000, 0.250)
La (0.000, 0.500, 0.375)
La (0.000, 0.500, 0.875)
La (0.500, 0.000, 0.875)
La (0.500, 0.000, 0.125)

***

What is the volume in the fifth record?
296 Å³/cell

***

Look up the volume of the sixth one.
99 Å³/cell